ZrCrHg2: relaxed, PBE-GGA.

Geometry as POSCAR:
```
ZrCrHg2
1.0
-1.8542 -2.0674 4.5517
3.6326 -3.2094 2.2213
0.2531 4.9939 -1.8513
Cr Hg Zr
1 2 1
Direct
0.7500 0.2500 0.5000
0.0000 0.0000 0.0000
0.2500 0.7500 0.5000
0.5000 0.5000 0.0000
```

N(E_F) = 4.06 states/eV/f.u.
energy above the most stable polymorph in this dataset = 108.4 meV/atom
ΔH_f (0 K) = 0.25 eV per atom
E = -17.77 eV per cell


ZrCr2Hg: relaxed, PBE-GGA.

Geometry as POSCAR:
```
ZrCr2Hg
1.0
-0.7010 -0.3035 5.2357
-5.0162 -0.5835 1.5789
3.7178 -2.2287 -3.0343
Cr Hg Zr
2 1 1
Direct
0.9680 0.9680 0.0000
0.7793 0.2793 0.5000
0.5144 0.5144 0.0000
0.2384 0.7384 0.5000
```

N(E_F) = 3.44 states/eV/f.u.
energy above the most stable polymorph in this dataset = 171.8 meV/atom
ΔH_f (0 K) = 0.30 eV per atom
E = -26.90 eV per cell


ZrCrHg2: relaxed, PBE-GGA.

Geometry as POSCAR:
```
ZrCrHg2
1.0
5.1103 0.0067 -0.0095
4.0768 3.0814 -0.0095
1.0752 0.3614 5.2869
Cr Hg Zr
1 2 1
Direct
0.2500 0.2500 0.2500
0.9928 0.9928 0.0119
0.5072 0.5072 0.4881
0.7500 0.7500 0.7500
```

N(E_F) = 3.40 states/eV/f.u.
energy above the most stable polymorph in this dataset = 99.8 meV/atom
ΔH_f (0 K) = 0.24 eV per atom
E = -17.81 eV per cell


ZrCr3Hg: relaxed, PBE-GGA.

Geometry as POSCAR:
```
ZrCr3Hg
1.0
4.5803 0.0000 0.0000
0.0000 4.5803 0.0000
0.0000 0.0000 4.5803
Cr Hg Zr
3 1 1
Direct
0.0000 0.5000 0.0000
0.0000 0.0000 0.5000
0.5000 0.0000 0.0000
0.5000 0.5000 0.5000
0.0000 0.0000 0.0000
```

N(E_F) = 5.67 states/eV/f.u.
energy above the most stable polymorph in this dataset = 387.1 meV/atom
ΔH_f (0 K) = 1.94 eV per atom
E = -28.01 eV per cell


Q: Which formula does entry 4 have?
A: ZrCr3Hg


Q: Which formula does entry 2 have?
A: ZrCr2Hg